Entry from OQMD via LeMat-Bulk: crystalline ScAlRe at its relaxed geometry (PBE-GGA).

Summary:
Electronic total energy   -19.55 eV/cell
Total magnetic moment   0.864 μB/cell
Space group   F-43m, No. 216

Cell lengths 4.442, 4.442, 4.442 Å; angles 60.00, 60.00, 60.00 degrees
Element x y z (fractional)
Sc  0.000  0.000  0.000
Re  0.750  0.750  0.750
Al  0.250  0.250  0.250